1.
## TmScTe (GGA-PBE)

Data for an optimized crystal structure of TmScTe.

a = 4.9360 Å, b = 4.9360 Å, c = 3.8268 Å
α = 90.00°, β = 90.00°, γ = 120.00°
Closest atoms and distances in Å follow each position.
Sites, in units of the cell vectors:
Tm  0.0000  0.0000  0.0000  3 Te 3.18, 6 Sc 3.43-3.44
Sc  0.3333  0.6667  0.4979  3 Te 2.89
Te  0.6667  0.3333  0.3679  3 Sc 2.89, 3 Tm 3.18

Values from the calculation:
V   26.9 A^3/atom
Formation energy (no corrections)   -0.45 eV/atom
Energy above the most stable polymorph in this dataset   280 meV per atom


2.
## Er3Al4Au4 (GGA-PBE)

Data for an optimized crystal structure of Er3Al4Au4.

a = 8.3614 Å, b = 8.3614 Å, c = 8.3614 Å
α = 150.58°, β = 129.28°, γ = 59.73°
Closest atoms and distances in Å follow each position.
Sites, in units of the cell vectors:
Er  0.0000  0.0000  0.0000  6 Au 3.00-3.19
Er  0.3803  0.8803  0.5000  6 Au 3.11-3.15, 6 Al 3.15-3.30, 1 Er 3.47
Er  0.6197  0.1197  0.5000  6 Au 3.11-3.15, 6 Al 3.15-3.30, 1 Er 3.47
Al  0.0201  0.3265  0.6937  4 Au 2.62-2.68, 1 Al 2.77
Al  0.3672  0.6735  0.6937  4 Au 2.62-2.68, 1 Al 2.77
Al  0.6328  0.3265  0.3063  4 Au 2.62-2.68, 1 Al 2.77
Al  0.9799  0.6735  0.3063  4 Au 2.62-2.68, 1 Al 2.77
Au  0.2198  0.2198  0.0000  6 Al 2.62-2.68
Au  0.2956  0.5000  0.7956  2 Al 2.62, 1 Au 2.93
Au  0.7044  0.5000  0.2044  2 Al 2.62, 1 Au 2.93
Au  0.7802  0.7802  0.0000  6 Al 2.62-2.68

Values from the calculation:
V   20.0 A^3/atom
Energy relative to the elements   -8.3 eV/f.u.


3.
## NaGaBiOs2 (GGA-PBE)

Data for an optimized crystal structure of NaGaBiOs2.

a = 5.0660 Å, b = 5.0660 Å, c = 5.4942 Å
α = 90.00°, β = 90.00°, γ = 90.00°
Closest atoms and distances in Å follow each position.
Sites, in units of the cell vectors:
Na  0.0000  0.0000  0.0000  2 Bi 2.75
Ga  0.5000  0.5000  0.0000  4 Na 3.58, 8 Os 3.74
Bi  0.0000  0.0000  0.5000  4 Os 2.53, 2 Na 2.75
Os  0.0000  0.5000  0.5000  2 Bi 2.53
Os  0.5000  0.0000  0.5000  2 Bi 2.53

Values from the calculation:
V   28.2 A^3/atom
Energy relative to the elements   9.7 eV/f.u.


4.
## ZnPN3 (GGA-PBE)

Data for an optimized crystal structure of ZnPN3.

a = 8.1023 Å, b = 8.1023 Å, c = 4.6998 Å
α = 105.18°, β = 105.18°, γ = 104.73°
Closest atoms and distances in Å follow each position.
Sites, in units of the cell vectors:
Zn  0.0816  0.2840  0.2007  4 N 1.99-2.08
Zn  0.2840  0.0816  0.7007  4 N 1.99-2.08
Zn  0.7160  0.9184  0.2993  4 N 1.99-2.08
Zn  0.9184  0.7160  0.7993  4 N 1.99-2.08
P  0.3113  0.6887  0.2500  4 N 1.67-1.68
P  0.3140  0.6860  0.7500  4 N 1.67
P  0.6860  0.3140  0.2500  4 N 1.67
P  0.6887  0.3113  0.7500  4 N 1.67-1.68
N  0.0514  0.0876  0.8087  1 N 1.24
N  0.0876  0.0514  0.3087  1 N 1.24
N  0.1527  0.6552  0.9096  2 P 1.67
N  0.2813  0.5263  0.4112  2 P 1.67-1.68
N  0.3448  0.8473  0.5904  2 P 1.67
N  0.4737  0.7187  0.0888  2 P 1.67-1.68
N  0.5263  0.2813  0.9112  2 P 1.67-1.68
N  0.6552  0.1527  0.4096  2 P 1.67
N  0.7187  0.4737  0.5888  2 P 1.67-1.68
N  0.8473  0.3448  0.0904  2 P 1.67
N  0.9124  0.9486  0.6913  1 N 1.24
N  0.9486  0.9124  0.1913  1 N 1.24

Values from the calculation:
V   13.5 A^3/atom
Formation energy (no corrections)   0.02 eV/atom


5.
## AlHgOs2 (GGA-PBE)

Data for an optimized crystal structure of AlHgOs2.

a = 4.6746 Å, b = 2.8992 Å, c = 4.9190 Å
α = 90.00°, β = 109.49°, γ = 90.00°
Closest atoms and distances in Å follow each position.
Sites, in units of the cell vectors:
Al  0.0000  0.0000  0.0000  6 Os 2.75-2.77, 4 Hg 2.85, 2 Al 2.90
Hg  0.0000  0.5000  0.5000  6 Os 2.75-2.77, 4 Al 2.85, 2 Hg 2.90
Os  0.5000  0.0000  0.5000  4 Hg 2.75, 2 Al 2.77, 6 Os 2.85-2.90
Os  0.5000  0.5000  0.0000  4 Al 2.75, 2 Hg 2.77, 6 Os 2.85-2.90

Values from the calculation:
V   15.7 A^3/atom
Energy relative to the elements   1.9 eV/f.u.
Energy above the most stable polymorph in this dataset   265 meV per atom


6.
## CaBi2SBr (GGA-PBE)

Data for an optimized crystal structure of CaBi2SBr.

a = 5.6712 Å, b = 5.6712 Å, c = 5.1460 Å
α = 90.00°, β = 90.00°, γ = 90.00°
Closest atoms and distances in Å follow each position.
Sites, in units of the cell vectors:
Ca  0.0000  0.0000  0.0000  8 Bi 3.83, 4 S 4.01
Bi  0.0000  0.5000  0.5000  2 Br 2.84
Bi  0.5000  0.0000  0.5000  2 Br 2.84
S  0.5000  0.5000  0.0000  2 Br 2.57
Br  0.5000  0.5000  0.5000  2 S 2.57, 4 Bi 2.84

Values from the calculation:
V   33.1 A^3/atom
Formation energy (no corrections)   0.29 eV/atom